(1)
# BeGaO2

Crystalline BeGaO2 at its relaxed geometry (PBE, the Alexandria database).

Structure (extended XYZ):
```
8
Lattice="4.4537 0.0000 0.0000 0.0000 4.4537 0.0000 2.2268 2.2268 4.0986" Properties=species:S:1:pos:R:3 pbc="T T T"
Be 2.2268 2.2268 0.0000
Be 2.2268 4.4537 2.0493
O 2.9850 1.1134 1.0246
O 1.4686 3.3403 1.0246
O 3.3403 3.6955 3.0739
O 5.5671 5.2119 3.0739
Ga 0.0000 0.0000 0.0000
Ga 4.4537 2.2268 2.0493
```

Output
For the uncorrected formation energy, the calculation gives -1.73 eV/atom. The value obtained for the energy above the most stable polymorph in this dataset is 0.000 eV/atom.

---

(2)
# Ce2Al9Co3

Crystalline Ce2Al9Co3 at its relaxed geometry (PBE, the Alexandria database).

Structure (extended XYZ):
```
28
Lattice="6.9179 -0.0409 -2.9011 -4.0775 6.2968 -0.0028 0.2432 0.1919 10.2309" Properties=species:S:1:pos:R:3 pbc="T T T"
Ce 1.5004 1.6924 6.7003
Ce 1.5832 4.7554 0.6267
Ce 4.6933 3.7946 4.7726
Ce -1.6096 2.6532 2.5544
Al -0.4113 5.9213 6.3161
Al 3.4949 0.5264 1.0109
Al 1.9479 4.5858 5.7466
Al 1.1357 1.8619 1.5804
Al 0.7240 4.2049 8.1769
Al 2.3597 2.2428 -0.8499
Al -0.5062 3.3975 5.2342
Al 3.5899 3.0502 2.0928
Al 5.7501 0.9485 5.1096
Al -2.6665 5.4992 2.2174
Al -2.8362 6.3890 9.3620
Al 5.9198 0.0588 -2.0350
Al 3.0651 1.2380 4.0376
Al 0.0185 5.2097 3.2894
Al 2.7172 5.4758 3.2844
Al 0.3665 0.9719 4.0426
Al 4.4186 2.0859 7.2254
Al -1.3349 4.3618 0.1016
Co 3.4589 -0.0205 -1.4506
Co 1.5418 3.2239 3.6635
Co 5.2477 1.1408 2.6603
Co -2.1641 5.3069 4.6667
Co -0.2053 2.1544 -0.4900
Co 3.2889 4.2933 7.8170
```

Output
For the energy relative to the elements, the calculation gives -522.3 meV per atom.

---

Number 1: DOS at the Fermi energy 1.31 states/eV/cell, ρ 4.5 g cm⁻³. Number 2: DOS at the Fermi energy 11.52 states/eV/cell, ρ 5.2 g cm⁻³.